No. 1
# PBE CdCuIrO5, optimized geometry
data_CdCuIrO5
_chemical_formula_sum 'Cd4 Cu4 Ir4 O20'
_cell_length_a 6.274
_cell_length_b 9.339
_cell_length_c 7.349
_cell_angle_alpha 90.00
_cell_angle_beta 111.33
_cell_angle_gamma 90.00
_space_group_name_H-M_alt 'C 1 2/c 1'
_space_group_IT_number 15
loop_
_space_group_symop_operation_xyz
'x,y,z'
'-x,-y,-z'
'-x,y,-z+1/2'
'x,-y,z+1/2'
'x+1/2,y+1/2,z'
'-x+1/2,-y+1/2,-z'
'-x+1/2,y+1/2,-z+1/2'
'x+1/2,-y+1/2,z+1/2'
loop_
_atom_site_label
_atom_site_type_symbol
_atom_site_fract_x
_atom_site_fract_y
_atom_site_fract_z
Cd1 Cd 0.000 0.185 0.250
Cu1 Cu 0.000 0.173 0.750
Ir1 Ir 0.000 0.500 0.000
O1 O 0.000 0.426 0.250
O2 O 0.047 0.295 0.566
O3 O 0.176 0.020 0.911
# E_form (uncorrected)   -0.672 eV/atom

No. 2
# PBE CdCu2IrO8, optimized geometry
data_CdCu2IrO8
_chemical_formula_sum 'Cd2 Cu4 Ir2 O16'
_cell_length_a 6.605
_cell_length_b 6.605
_cell_length_c 6.591
_cell_angle_alpha 90.00
_cell_angle_beta 90.00
_cell_angle_gamma 90.00
_space_group_name_H-M_alt 'I -4 m 2'
_space_group_IT_number 119
_space_group_name_Hall 'I -4 -2'
loop_
_atom_site_label
_atom_site_type_symbol
_atom_site_fract_x
_atom_site_fract_y
_atom_site_fract_z
Cd1 Cd 0.000 0.000 0.000
Cu1 Cu 0.000 0.000 0.500
Cu2 Cu 0.000 0.500 0.250
Ir1 Ir 0.000 0.500 0.750
O1 O 0.000 0.209 0.698
O2 O 0.000 0.338 0.020
# E_form (uncorrected)   -0.211 eV/atom

No. 3
# PBE ScCdCuIr, optimized geometry
data_ScCdCuIr
_chemical_formula_sum 'Sc4 Cd4 Cu4 Ir4'
_cell_length_a 6.470
_cell_length_b 6.470
_cell_length_c 6.470
_cell_angle_alpha 90.00
_cell_angle_beta 90.00
_cell_angle_gamma 90.00
_space_group_name_H-M_alt 'F -4 3 m'
_space_group_IT_number 216
_space_group_name_Hall 'F -4 2 3'
loop_
_atom_site_label
_atom_site_type_symbol
_atom_site_fract_x
_atom_site_fract_y
_atom_site_fract_z
Sc1 Sc 0.000 0.000 0.000
Cd1 Cd 0.000 0.000 0.500
Cu1 Cu 0.250 0.250 0.250
Ir1 Ir 0.250 0.250 0.750
# E_form   -31.02 kJ/mol of atoms

No. 4
# PBE Sc5Cd2CuIr2, optimized geometry
data_Sc5Cd2CuIr2
_chemical_formula_sum 'Sc10 Cd4 Cu2 Ir4'
_cell_length_a 10.987
_cell_length_b 10.987
_cell_length_c 3.426
_cell_angle_alpha 90.00
_cell_angle_beta 90.00
_cell_angle_gamma 90.00
_space_group_name_H-M_alt 'P 4/m b m'
_space_group_IT_number 127
_space_group_name_Hall '-P 4 2ab'
loop_
_atom_site_label
_atom_site_type_symbol
_atom_site_fract_x
_atom_site_fract_y
_atom_site_fract_z
Sc1 Sc 0.000 0.500 0.000
Sc2 Sc 0.075 0.197 0.000
Cd1 Cd 0.171 0.671 0.500
Cu1 Cu 0.000 0.000 0.500
Ir1 Ir 0.133 0.367 0.500
# E_form   -46.71 kJ/mol of atoms

No. 5
# PBE Sc4CdCu2Ir, optimized geometry
data_Sc4CdCu2Ir
_chemical_formula_sum 'Sc12 Cd3 Cu6 Ir3'
_cell_length_a 4.6986
_cell_length_b 4.6986
_cell_length_c 23.1660
_cell_angle_alpha 90.00
_cell_angle_beta 90.00
_cell_angle_gamma 120.00
_space_group_name_H-M_alt 'R -3 m'
_space_group_IT_number 166
_space_group_name_Hall '-R 3 2"'
loop_
_atom_site_label
_atom_site_type_symbol
_atom_site_fract_x
_atom_site_fract_y
_atom_site_fract_z
Sc1 Sc 0.0000 0.0000 0.1167
Sc2 Sc 0.0000 0.0000 0.3686
Cd1 Cd 0.0000 0.0000 0.5000
Cu1 Cu 0.0000 0.0000 0.2445
Ir1 Ir 0.0000 0.0000 0.0000
# E_form   -46.30 kJ/mol of atoms

No. 6
# PBE SmCdCuIr, optimized geometry
data_SmCdCuIr
_chemical_formula_sum 'Sm4 Cd4 Cu4 Ir4'
_cell_length_a 6.780
_cell_length_b 6.780
_cell_length_c 6.780
_cell_angle_alpha 90.00
_cell_angle_beta 90.00
_cell_angle_gamma 90.00
_space_group_name_H-M_alt 'F -4 3 m'
_space_group_IT_number 216
_space_group_name_Hall 'F -4 2 3'
loop_
_atom_site_label
_atom_site_type_symbol
_atom_site_fract_x
_atom_site_fract_y
_atom_site_fract_z
Sm1 Sm 0.000 0.000 0.000
Cd1 Cd 0.000 0.000 0.500
Cu1 Cu 0.250 0.250 0.250
Ir1 Ir 0.250 0.250 0.750
# E_form   -20.12 kJ/mol of atoms

No. 7
# PBE TbCdCuIr, optimized geometry
data_TbCdCuIr
_chemical_formula_sum 'Tb4 Cd4 Cu4 Ir4'
_cell_length_a 6.706
_cell_length_b 6.706
_cell_length_c 6.706
_cell_angle_alpha 90.00
_cell_angle_beta 90.00
_cell_angle_gamma 90.00
_space_group_name_H-M_alt 'F -4 3 m'
_space_group_IT_number 216
_space_group_name_Hall 'F -4 2 3'
loop_
_atom_site_label
_atom_site_type_symbol
_atom_site_fract_x
_atom_site_fract_y
_atom_site_fract_z
Tb1 Tb 0.000 0.000 0.000
Cd1 Cd 0.000 0.000 0.500
Cu1 Cu 0.250 0.250 0.250
Ir1 Ir 0.250 0.250 0.750
# E_form   -25.84 kJ/mol of atoms

No. 8
# PBE ThCdCuIr, optimized geometry
data_ThCdCuIr
_chemical_formula_sum 'Th4 Cd4 Cu4 Ir4'
_cell_length_a 6.876
_cell_length_b 6.876
_cell_length_c 6.876
_cell_angle_alpha 90.00
_cell_angle_beta 90.00
_cell_angle_gamma 90.00
_space_group_name_H-M_alt 'F -4 3 m'
_space_group_IT_number 216
_space_group_name_Hall 'F -4 2 3'
loop_
_atom_site_label
_atom_site_type_symbol
_atom_site_fract_x
_atom_site_fract_y
_atom_site_fract_z
Th1 Th 0.000 0.000 0.000
Cd1 Cd 0.000 0.000 0.500
Cu1 Cu 0.250 0.250 0.750
Ir1 Ir 0.250 0.250 0.250
# E_form   -26.27 kJ/mol of atoms